Material: Pr12Cd3C5
Method: DFT, PBE
State: optimized geometry

## Properties
Formation energy ... 75 meV per atom
Total magnetic moment ... 0.00 μB per formula unit
E ... -5.2357 eV/atom
Fermi-level density of states ... 0.99 states/eV/atom

Lattice parameters (Å, degrees): 16.658 16.658 16.658 90.00 90.00 90.00
Space group Ia-3d (No. 230)
Unique sites:
Pr1 0.036 0.053 0.647
Cd1 0.000 0.250 0.125
C1 0.000 0.000 0.000
C2 0.000 0.250 0.375

=====

Material: Gd2ZrGa
Method: DFT, PBE
State: optimized geometry

## Properties
Formation energy ... -211 meV per atom
Total magnetic moment ... 14.28 μB per formula unit
E ... -10.1456 eV/atom
Fermi-level density of states ... 0.97 states/eV/atom
ΔE to the lowest computed polymorph ... 0 meV per atom

Lattice parameters (Å, degrees): 3.444 3.444 8.631 90.00 90.00 90.00
Space group P4/mmm (No. 123)
Unique sites:
Gd1 0.000 0.000 0.227
Zr1 0.500 0.500 0.500
Ga1 0.500 0.500 0.000

=====

Material: LaAsBr2
Method: DFT, PBE
State: optimized geometry

## Properties
Total magnetic moment ... 2.03 μB per formula unit
E ... -3.9825 eV/atom
Fermi-level density of states ... 0.93 states/eV/atom
ΔE to the lowest computed polymorph ... 518 meV per atom
ΔE_f (raw) ... -0.752 eV/atom

Lattice parameters (Å, degrees): 7.582 7.582 7.582 90.00 90.00 90.00
Space group F-43m (No. 216)
Unique sites:
La1 0.000 0.000 0.000
As1 0.250 0.250 0.750
Br1 0.000 0.000 0.500
Br2 0.250 0.250 0.250